Er7Cu2Se2 (PBE-GGA, optimized geometry); SG = Imm2, No. 44; total DFT energy (no corrections) = -4.92 eV per atom
1.0
-1.931 7.460 4.624
1.931 -7.460 4.624
1.931 7.460 -4.624
Er Cu Se
7 2 2
direct
0.000 0.000 0.000
0.074 0.388 0.686
0.116 0.752 0.365
0.387 0.752 0.635
0.474 0.595 0.879
0.702 0.388 0.314
0.716 0.595 0.121
0.326 0.088 0.239
0.849 0.088 0.761
0.344 0.344 0.000
0.747 0.247 0.500

=====

SmErCuSe3 (PBE-GGA, optimized geometry); SG = Cmcm, No. 63; total DFT energy (no corrections) = -5.30 eV per atom
1.0
1.970 -6.647 0.000
1.970 6.647 0.000
0.000 0.000 10.385
Sm Er Cu Se
2 2 2 6
direct
0.233 0.767 0.750
0.767 0.233 0.250
0.000 0.000 0.000
0.000 0.000 0.500
0.475 0.525 0.250
0.525 0.475 0.750
0.092 0.908 0.250
0.355 0.645 0.068
0.355 0.645 0.432
0.645 0.355 0.568
0.645 0.355 0.932
0.908 0.092 0.750

=====

ErCuSnSe3 (PBE-GGA, optimized geometry); SG = P2_1/m, No. 11; polymorph energy (0 for the lowest one) = 18.0 meV per atom; total DFT energy (no corrections) = -4.72 eV per atom
1.0
7.807 0.000 0.000
0.000 3.981 0.000
-2.702 0.000 9.446
Er Cu Sn Se
2 2 2 6
direct
0.188 0.250 0.162
0.812 0.750 0.838
0.423 0.750 0.413
0.577 0.250 0.587
0.263 0.750 0.698
0.737 0.250 0.302
0.077 0.250 0.859
0.243 0.250 0.459
0.447 0.750 0.167
0.553 0.250 0.833
0.757 0.750 0.541
0.923 0.750 0.141